(1)
Ac6HgRu2Cl3, relaxed, DFT GGA-PBE; M_tot = 0.0 μB per formula unit
1.0
7.669 -0.010 0.022
-3.842 6.637 0.022
-1.253 -2.170 7.983
Cl Ac Ru Hg
3 6 2 1
Cartesian
1.287 2.229 4.014
4.999 0.085 4.014
-2.425 4.373 4.014
-0.228 4.463 6.361
0.154 0.267 6.343
2.420 4.190 1.684
2.802 -0.005 1.666
-1.405 2.424 1.666
3.979 2.033 6.361
3.825 2.210 0.022
0.003 4.417 0.022
0.000 0.000 0.000

(2)
AcHgSeCl, relaxed, DFT GGA-PBE; M_tot = 0.0 μB per formula unit
1.0
5.354 0.000 0.000
2.677 4.636 0.000
2.677 1.545 4.371
Se Cl Hg Ac
1 1 1 1
Cartesian
0.000 0.000 0.000
5.354 3.091 2.186
2.677 1.545 1.093
8.030 4.636 3.278

(3)
AcHgTeCl, relaxed, DFT GGA-PBE; M_tot = 0.0 μB per formula unit
1.0
-3.094 2.814 -3.667
-4.869 2.184 1.566
-0.550 5.514 0.477
Cl Te Hg Ac
1 1 1 1
Cartesian
-6.384 7.884 -1.217
-2.128 2.628 -0.406
-4.256 5.256 -0.812
0.000 0.000 0.000

(4)
AcHoCl, relaxed, DFT GGA-PBE; M_tot = 0.0 μB per formula unit
1.0
3.743 -0.052 -0.028
-0.086 7.543 -0.750
-1.752 -4.891 7.834
Ac Ho Cl
2 2 2
Cartesian
0.002 0.187 2.299
1.903 2.412 4.757
1.919 -1.441 5.094
-0.013 4.041 1.962
0.001 2.134 -0.198
1.904 0.466 7.254

(5)
Ac2HoCl, relaxed, DFT GGA-PBE; M_tot = 0.0 μB per formula unit
1.0
-0.143 0.766 3.808
2.308 -1.933 2.459
8.481 7.282 0.836
Ho Ac Cl
1 2 1
Cartesian
5.323 3.058 3.551
2.467 1.337 1.807
8.179 4.779 5.295
0.000 0.000 0.000

(6)
AcI2Cl, relaxed, DFT GGA-PBE; E above lowest polymorph = 381 meV per atom; M_tot = 0.0 μB per formula unit
1.0
-3.325 4.384 -1.499
-5.086 -0.967 -2.391
-4.777 1.085 2.922
Cl I Ac
1 2 1
Cartesian
0.000 0.000 0.000
-9.892 3.377 -0.726
-3.297 1.126 -0.243
-6.594 2.251 -0.484

(7)
AcICl2, relaxed, DFT GGA-PBE; E above lowest polymorph = 0 meV per atom; M_tot = 0.0 μB per formula unit
1.0
4.694 0.000 0.000
-2.347 6.085 0.000
0.000 0.000 8.998
Cl Ac I
4 2 2
Cartesian
0.000 4.127 5.070
2.346 1.957 3.928
2.346 1.957 0.571
0.000 4.127 8.427
0.000 2.917 2.250
2.347 3.168 6.749
2.347 5.428 2.250
0.000 0.657 6.749

(8)
AcICl2, relaxed, DFT GGA-PBE; E above lowest polymorph = 393 meV per atom; M_tot = 0.0 μB per formula unit
1.0
5.429 0.000 0.000
2.714 4.702 0.000
2.714 1.567 4.381
Cl Ac I
2 1 1
Cartesian
8.143 4.702 3.262
2.714 1.567 1.119
0.000 0.000 0.000
5.429 3.134 2.190

(9)
AcI2Cl, relaxed, DFT GGA-PBE; E above lowest polymorph = 0 meV per atom; M_tot = 0.0 μB per formula unit
1.0
-4.387 0.045 -1.062
1.965 -7.771 1.112
-2.366 0.805 9.810
I Cl Ac
4 2 2
Cartesian
-0.210 -2.195 0.756
-1.109 -1.889 4.484
-3.679 -5.033 5.376
-4.578 -4.727 9.103
-0.760 -5.578 2.886
-4.028 -1.343 6.973
-2.903 -3.758 2.220
-1.886 -3.164 7.640

(10)
Ac2ICl, relaxed, DFT GGA-PBE; M_tot = 0.0 μB per formula unit
1.0
-2.171 2.682 -1.975
-1.982 -1.070 -3.276
-9.320 -1.792 3.811
Cl Ac I
1 2 1
Cartesian
-6.737 -0.090 -0.720
-3.509 -0.086 -0.262
-9.965 -0.094 -1.178
0.000 0.000 0.000

(11)
Ac4IrI2Cl, relaxed, DFT GGA-PBE; M_tot = 0.0 μB per formula unit
1.0
-3.605 -1.712 1.852
2.586 -7.319 -1.735
3.163 2.085 8.086
Ac I Ir Cl
4 2 1 1
Cartesian
-0.531 -2.316 2.051
3.321 -0.490 6.012
2.427 -4.743 0.338
2.675 -4.630 6.151
2.874 -2.617 3.175
-0.221 0.186 4.969
-0.509 -4.516 0.058
0.000 0.000 0.000

(12)
Ac8Ir3I4Cl, relaxed, DFT GGA-PBE; M_tot = 0.0 μB per formula unit
1.0
-2.196 2.276 8.350
0.639 -9.651 2.798
7.267 3.516 -3.821
I Cl Ir Ac
4 1 3 8
Cartesian
3.634 1.758 -1.910
2.536 2.896 2.265
-1.098 1.138 4.175
0.000 0.000 0.000
0.319 -4.825 1.399
-0.778 -3.688 5.574
3.953 -3.068 -0.511
2.855 -1.930 3.664
3.436 -4.391 2.100
-1.077 -1.088 6.988
5.775 -1.723 4.189
6.788 -2.772 0.340
2.274 0.532 5.227
-0.065 -2.137 3.138
2.145 -3.328 6.245
3.566 -0.531 1.082

For each record above, in turn, the calculated formation energy (no corrections) values are -0.981 -1.441 -1.277 -0.783 -0.615 -1.486 -2.155 -1.762 -1.866 -1.150 -1.088 -1.084 eV per atom.
For each record above, in turn, the calculated total DFT energy (no corrections) values are -60.818 -15.504 -14.505 -25.762 -17.103 -14.997 -35.945 -16.400 -33.040 -16.212 -38.942 -84.843 eV for the cell shown.